No. 1
A relaxed structure of TmCdGaCu. Source: Alexandria via LeMat-Bulk, functional GGA-PBE.

Cell: 4.746 4.746 4.746 Å, 60.00 60.00 60.00°
Fractional positions:
1 Tm 0.000 0.000 0.000
2 Cu 0.750 0.750 0.750
3 Ga 0.250 0.250 0.250
4 Cd 0.500 0.500 0.500

Properties
energy = -3.409 eV/atom
V = 75.6 Å³/f.u.
formation energy from the elements = -0.281 eV per atom

---

No. 2
A relaxed structure of UCdGaCu. Source: Alexandria via LeMat-Bulk, functional GGA-PBE.

Cell: 4.801 4.801 4.801 Å, 60.00 60.00 60.00°
Site moments in Bohr magnetons follow the coordinates.
Fractional positions:
1 U 0.500 0.500 0.500  2.28
2 Cu 0.250 0.250 0.250  -0.02
3 Ga 0.750 0.750 0.750  0.04
4 Cd 0.000 0.000 0.000  0.00

Properties
energy = -4.722 eV/atom
V = 78.2 Å³/f.u.
formation energy from the elements = 0.110 eV per atom

---

No. 3
A relaxed structure of Y2CdGa4Cu3. Source: Alexandria via LeMat-Bulk, functional GGA-PBE.

Cell: 4.144 4.144 10.656 Å, 90.00 90.00 90.00°
Fractional positions:
1 Y 0.500 0.000 0.239
2 Y 0.000 0.500 0.761
3 Cd 0.500 0.500 0.500
4 Ga 0.500 0.500 0.000
5 Ga 0.000 0.000 0.000
6 Ga 0.500 0.000 0.652
7 Ga 0.000 0.500 0.348
8 Cu 0.000 0.000 0.500
9 Cu 0.500 0.000 0.873
10 Cu 0.000 0.500 0.127

Properties
energy = -4.229 eV/atom
V = 183.0 Å³/f.u.
formation energy from the elements = -0.405 eV per atom

---

No. 4
A relaxed structure of YCdGaCu. Source: Alexandria via LeMat-Bulk, functional GGA-PBE.

Cell: 4.790 4.790 4.790 Å, 60.00 60.00 60.00°
Fractional positions:
1 Y 0.750 0.750 0.750
2 Cu 0.000 0.000 0.000
3 Ga 0.500 0.500 0.500
4 Cd 0.250 0.250 0.250

Properties
energy = -3.930 eV/atom
V = 77.7 Å³/f.u.
formation energy from the elements = -0.304 eV per atom

---

No. 5
A relaxed structure of ZrCdGaCu. Source: Alexandria via LeMat-Bulk, functional GGA-PBE.

Cell: 4.646 4.646 4.646 Å, 60.00 60.00 60.00°
Fractional positions:
1 Cu 0.000 0.000 0.000
2 Ga 0.500 0.500 0.500
3 Zr 0.250 0.250 0.250
4 Cd 0.750 0.750 0.750

Properties
energy = -4.288 eV/atom
V = 70.9 Å³/f.u.
formation energy from the elements = -0.141 eV per atom

---

No. 6
A relaxed structure of GdCd2Cu. Source: Alexandria via LeMat-Bulk, functional GGA-PBE.

Cell: 3.178 3.178 10.734 Å, 81.49 81.49 60.00°
Site moments in Bohr magnetons follow the coordinates.
Fractional positions:
1 Gd 0.000 0.000 0.000  7.19
2 Cu 0.500 0.500 0.500  0.00
3 Cd 0.101 0.101 0.698  0.00
4 Cd 0.899 0.899 0.302  0.00

Properties
energy = -4.720 eV/atom
V = 92.5 Å³/f.u.
formation energy from the elements = 0.282 eV per atom

---

No. 7
A relaxed structure of GdCd2Cu. Source: Alexandria via LeMat-Bulk, functional GGA-PBE.

Cell: 3.351 3.351 7.617 Å, 90.00 90.00 90.00°
Site moments in Bohr magnetons follow the coordinates.
Fractional positions:
1 Gd 0.500 0.500 0.500  7.24
2 Cu 0.500 0.500 0.000  0.00
3 Cd 0.000 0.000 0.800  0.00
4 Cd 0.000 0.000 0.200  0.00

Properties
energy = -5.123 eV/atom
V = 85.5 Å³/f.u.
formation energy from the elements = -0.121 eV per atom

---

No. 8
A relaxed structure of GdCd2Cu. Source: Alexandria via LeMat-Bulk, functional GGA-PBE.

Cell: 4.877 4.292 4.292 Å, 90.00 90.00 90.00°
Site moments in Bohr magnetons follow the coordinates.
Fractional positions:
1 Gd 0.500 0.000 0.000  7.17
2 Cu 0.500 0.500 0.500  0.02
3 Cd 0.000 0.000 0.500  0.01
4 Cd 0.000 0.500 0.000  0.01

Properties
energy = -5.096 eV/atom
V = 89.9 Å³/f.u.
formation energy from the elements = -0.094 eV per atom

---

No. 9
A relaxed structure of GdCd2Cu. Source: Alexandria via LeMat-Bulk, functional GGA-PBE.

Cell: 4.951 4.951 4.951 Å, 60.00 60.00 60.00°
Site moments in Bohr magnetons follow the coordinates.
Fractional positions:
1 Gd 0.000 0.000 0.000  7.04
2 Cu 0.500 0.500 0.500  0.01
3 Cd 0.250 0.250 0.250  0.00
4 Cd 0.750 0.750 0.750  0.00

Properties
energy = -5.108 eV/atom
V = 85.8 Å³/f.u.
formation energy from the elements = -0.106 eV per atom

---

No. 10
A relaxed structure of GdHoCdCu. Source: Alexandria via LeMat-Bulk, functional GGA-PBE.

Cell: 5.138 5.138 5.138 Å, 60.00 60.00 60.00°
Site moments in Bohr magnetons follow the coordinates.
Fractional positions:
1 Gd 0.000 0.000 0.000  7.03
2 Ho 0.500 0.500 0.500  -0.01
3 Cu 0.250 0.250 0.250  0.00
4 Cd 0.750 0.750 0.750  0.00

Properties
energy = -6.140 eV/atom
V = 95.9 Å³/f.u.
formation energy from the elements = -0.223 eV per atom

---

No. 11
A relaxed structure of GdCdCuIr. Source: Alexandria via LeMat-Bulk, functional GGA-PBE.

Cell: 4.761 4.761 4.761 Å, 60.00 60.00 60.00°
Site moments in Bohr magnetons follow the coordinates.
Fractional positions:
1 Gd 0.500 0.500 0.500  -6.98
2 Ir 0.250 0.250 0.250  0.05
3 Cu 0.750 0.750 0.750  0.01
4 Cd 0.000 0.000 0.000  0.00

Properties
energy = -7.232 eV/atom
V = 76.3 Å³/f.u.
formation energy from the elements = -0.243 eV per atom

---

No. 12
A relaxed structure of LiGdCdCu. Source: Alexandria via LeMat-Bulk, functional GGA-PBE.

Cell: 4.797 4.797 4.797 Å, 60.00 60.00 60.00°
Site moments in Bohr magnetons follow the coordinates.
Fractional positions:
1 Gd 0.250 0.250 0.250  -7.22
2 Li 0.500 0.500 0.500  -0.05
3 Cu 0.000 0.000 0.000  -0.03
4 Cd 0.750 0.750 0.750  -0.04

Properties
energy = -5.426 eV/atom
V = 78.0 Å³/f.u.
formation energy from the elements = -0.175 eV per atom

---

No. 13
A relaxed structure of GdMgCdCu. Source: Alexandria via LeMat-Bulk, functional GGA-PBE.

Cell: 4.950 4.950 4.950 Å, 60.00 60.00 60.00°
Site moments in Bohr magnetons follow the coordinates.
Fractional positions:
1 Mg 0.500 0.500 0.500  0.00
2 Gd 0.000 0.000 0.000  7.04
3 Cu 0.250 0.250 0.250  0.00
4 Cd 0.750 0.750 0.750  0.00

Properties
energy = -5.381 eV/atom
V = 85.7 Å³/f.u.
formation energy from the elements = -0.209 eV per atom

---

No. 14
A relaxed structure of NdGdCdCu. Source: Alexandria via LeMat-Bulk, functional GGA-PBE.

Cell: 5.227 5.227 5.227 Å, 60.00 60.00 60.00°
Site moments in Bohr magnetons follow the coordinates.
Fractional positions:
1 Gd 0.500 0.500 0.500  -7.14
2 Nd 0.000 0.000 0.000  -0.09
3 Cu 0.250 0.250 0.250  -0.02
4 Cd 0.750 0.750 0.750  0.00

Properties
energy = -6.169 eV/atom
V = 101.0 Å³/f.u.
formation energy from the elements = -0.204 eV per atom

---

No. 15
A relaxed structure of GdCdCuPb. Source: Alexandria via LeMat-Bulk, functional GGA-PBE.

Cell: 5.089 5.089 5.089 Å, 60.00 60.00 60.00°
Site moments in Bohr magnetons follow the coordinates.
Fractional positions:
1 Pb 0.000 0.000 0.000  -0.03
2 Gd 0.500 0.500 0.500  6.96
3 Cu 0.250 0.250 0.250  -0.02
4 Cd 0.750 0.750 0.750  0.00

Properties
energy = -5.814 eV/atom
V = 93.2 Å³/f.u.
formation energy from the elements = -0.114 eV per atom

---

No. 16
A relaxed structure of GdPuCdCu. Source: Alexandria via LeMat-Bulk, functional GGA-PBE.

Cell: 5.179 5.179 5.179 Å, 60.00 60.00 60.00°
Site moments in Bohr magnetons follow the coordinates.
Fractional positions:
1 Cd 0.750 0.750 0.750  -0.03
2 Gd 0.000 0.000 0.000  -7.16
3 Cu 0.250 0.250 0.250  -0.03
4 Pu 0.500 0.500 0.500  -5.42

Properties
energy = -8.356 eV/atom
V = 98.2 Å³/f.u.
formation energy from the elements = 0.000 eV per atom

---

No. 17
A relaxed structure of CdCu2Ge. Source: Alexandria via LeMat-Bulk, functional GGA-PBE.

Cell: 4.253 6.890 8.932 Å, 90.00 90.00 90.00°
Fractional positions:
1 Cd 0.750 0.662 0.327
2 Cd 0.750 0.162 0.173
3 Cd 0.250 0.338 0.673
4 Cd 0.250 0.838 0.827
5 Cu 0.750 0.764 0.031
6 Cu 0.250 0.236 0.969
7 Cu 0.750 0.264 0.469
8 Cu 0.250 0.736 0.531
9 Cu 0.750 0.087 0.867
10 Cu 0.250 0.413 0.367
11 Cu 0.750 0.587 0.633
12 Cu 0.250 0.913 0.133
13 Ge 0.250 0.053 0.394
14 Ge 0.750 0.947 0.606
15 Ge 0.250 0.553 0.106
16 Ge 0.750 0.447 0.894

Properties
energy relative to the lowest polymorph listed for this composition = 0 meV/atom
energy = -3.342 eV/atom
V = 65.4 Å³/f.u.
formation energy from the elements = 0.090 eV per atom

---

No. 18
A relaxed structure of CdCu2Ge. Source: Alexandria via LeMat-Bulk, functional GGA-PBE.

Cell: 3.247 3.247 5.930 Å, 90.00 90.00 90.00°
Fractional positions:
1 Ge 0.500 0.500 0.000
2 Cu 0.000 0.000 0.775
3 Cu 0.000 0.000 0.225
4 Cd 0.500 0.500 0.500

Properties
energy relative to the lowest polymorph listed for this composition = 25 meV/atom
energy = -3.317 eV/atom
V = 62.5 Å³/f.u.
formation energy from the elements = 0.115 eV per atom

---

No. 19
A relaxed structure of CdCu2Ge2. Source: Alexandria via LeMat-Bulk, functional GGA-PBE.

Cell: 4.065 4.065 6.039 Å, 70.33 70.33 90.00°
Fractional positions:
1 Ge 0.383 0.383 0.234
2 Ge 0.617 0.617 0.766
3 Cu 0.750 0.250 0.500
4 Cu 0.250 0.750 0.500
5 Cd 0.000 0.000 0.000

Properties
energy relative to the lowest polymorph listed for this composition = 0 meV/atom
energy = -3.502 eV/atom
V = 87.8 Å³/f.u.
formation energy from the elements = 0.166 eV per atom

---

No. 20
A relaxed structure of CdCuGe. Source: Alexandria via LeMat-Bulk, functional GGA-PBE.

Cell: 4.315 4.315 4.315 Å, 60.00 60.00 60.00°
Fractional positions:
1 Ge 0.500 0.500 0.500
2 Cu 0.250 0.250 0.250
3 Cd 0.000 0.000 0.000

Properties
energy relative to the lowest polymorph listed for this composition = 0 meV/atom
energy = -3.108 eV/atom
V = 56.8 Å³/f.u.
formation energy from the elements = 0.101 eV per atom

---

No. 21
A relaxed structure of Cd2CuGe. Source: Alexandria via LeMat-Bulk, functional GGA-PBE.

Cell: 3.297 3.297 7.007 Å, 90.00 90.00 90.00°
Fractional positions:
1 Ge 0.500 0.500 0.500
2 Cu 0.500 0.500 0.000
3 Cd 0.000 0.000 0.780
4 Cd 0.000 0.000 0.220

Properties
energy = -2.459 eV/atom
V = 76.2 Å³/f.u.
formation energy from the elements = 0.177 eV per atom

---

No. 22
A relaxed structure of CdCu2Ge. Source: Alexandria via LeMat-Bulk, functional GGA-PBE.

Cell: 4.164 4.164 8.910 Å, 76.49 76.49 90.00°
Fractional positions:
1 Ge 0.500 0.500 0.000
2 Ge 0.250 0.750 0.500
3 Cu 0.544 0.125 0.250
4 Cu 0.206 0.625 0.250
5 Cu 0.375 0.456 0.750
6 Cu 0.875 0.794 0.750
7 Cd 0.000 0.000 0.000
8 Cd 0.750 0.250 0.500

Properties
energy relative to the lowest polymorph listed for this composition = 170 meV/atom
energy = -3.172 eV/atom
V = 72.9 Å³/f.u.
formation energy from the elements = 0.260 eV per atom

---

No. 23
A relaxed structure of CdCuGe2. Source: Alexandria via LeMat-Bulk, functional GGA-PBE.

Cell: 4.371 4.371 8.875 Å, 75.74 75.74 90.00°
Fractional positions:
1 Ge 0.556 0.125 0.250
2 Ge 0.194 0.625 0.250
3 Ge 0.375 0.444 0.750
4 Ge 0.875 0.806 0.750
5 Cu 0.500 0.500 0.000
6 Cu 0.250 0.750 0.500
7 Cd 0.000 0.000 0.000
8 Cd 0.750 0.250 0.500

Properties
energy = -3.353 eV/atom
V = 79.5 Å³/f.u.
formation energy from the elements = 0.209 eV per atom

---

No. 24
A relaxed structure of CdCu2Ge. Source: Alexandria via LeMat-Bulk, functional GGA-PBE.

Cell: 2.969 2.969 8.517 Å, 79.96 79.96 60.00°
Fractional positions:
1 Cd 0.500 0.500 0.500
2 Cu 0.077 0.077 0.769
3 Cu 0.256 0.256 0.231
4 Ge 0.667 0.667 0.000

Properties
energy relative to the lowest polymorph listed for this composition = 40 meV/atom
energy = -3.301 eV/atom
V = 63.7 Å³/f.u.
formation energy from the elements = 0.130 eV per atom

---

No. 25
A relaxed structure of Cd2CuGe. Source: Alexandria via LeMat-Bulk, functional GGA-PBE.

Cell: 7.842 7.842 6.174 Å, 50.57 50.57 90.00°
Fractional positions:
1 Ge 0.000 0.000 0.000
2 Ge 0.750 0.250 0.500
3 Cu 0.500 0.500 0.000
4 Cu 0.250 0.750 0.500
5 Cd 0.591 0.125 0.250
6 Cd 0.159 0.625 0.250
7 Cd 0.375 0.409 0.750
8 Cd 0.875 0.841 0.750

Properties
energy = -2.324 eV/atom
V = 83.5 Å³/f.u.
formation energy from the elements = 0.312 eV per atom

---

No. 26
A relaxed structure of Cd2CuGe. Source: Alexandria via LeMat-Bulk, functional GGA-PBE.

Cell: 2.862 2.862 11.572 Å, 82.90 82.90 60.00°
Fractional positions:
1 Ge 0.500 0.500 0.500
2 Cu 0.000 0.000 0.000
3 Cd 0.081 0.081 0.757
4 Cd 0.919 0.919 0.243

Properties
energy = -2.305 eV/atom
V = 81.3 Å³/f.u.
formation energy from the elements = 0.331 eV per atom

---

No. 27
A relaxed structure of CdCu2Ge. Source: Alexandria via LeMat-Bulk, functional GGA-PBE.

Cell: 2.964 2.964 8.553 Å, 80.02 80.02 60.00°
Fractional positions:
1 Ge 0.000 0.000 0.000
2 Cu 0.256 0.256 0.231
3 Cu 0.744 0.744 0.769
4 Cd 0.500 0.500 0.500

Properties
energy relative to the lowest polymorph listed for this composition = 50 meV/atom
energy = -3.292 eV/atom
V = 63.8 Å³/f.u.
formation energy from the elements = 0.140 eV per atom

---

No. 28
A relaxed structure of CdCuGe. Source: Alexandria via LeMat-Bulk, functional GGA-PBE.

Cell: 3.082 3.082 6.442 Å, 90.00 90.00 120.00°
Fractional positions:
1 Ge 0.333 0.667 0.632
2 Cu 0.667 0.333 0.350
3 Cd 0.000 0.000 0.018

Properties
energy relative to the lowest polymorph listed for this composition = 58 meV/atom
energy = -3.050 eV/atom
V = 53.0 Å³/f.u.
formation energy from the elements = 0.159 eV per atom

---

No. 29
A relaxed structure of CdCu2Ge. Source: Alexandria via LeMat-Bulk, functional GGA-PBE.

Cell: 4.478 4.478 4.478 Å, 60.00 60.00 60.00°
Fractional positions:
1 Ge 0.000 0.000 0.000
2 Cu 0.250 0.250 0.250
3 Cu 0.750 0.750 0.750
4 Cd 0.500 0.500 0.500

Properties
energy relative to the lowest polymorph listed for this composition = 87 meV/atom
energy = -3.254 eV/atom
V = 63.5 Å³/f.u.
formation energy from the elements = 0.177 eV per atom